Density functional theory data (PBE-GGA) for crystalline Zn2Ag2Br at its relaxed geometry.

The value obtained for the formation energy without anion corrections is 0.056 eV per atom. The energy above the most stable polymorph in this dataset is 0.000 eV per atom.

The structure belongs to space group I4/mmm (No. 139); the cell edges are 3.973, 3.973 and 13.107 Å and the angles 90.00°, 90.00° and 90.00°. Symmetry generates all atoms from Zn at (0.000, 0.000, 0.100), Ag at (0.000, 0.500, 0.250) and Br at (0.000, 0.000, 0.500).